(1)
The following is a DFT calculation (PBE-GGA) of a geometry-optimized RbGdFeTe3 structure.

POSCAR file:
```
RbGdFeTe3
1.0
9.758 0.000 0.000
0.000 4.322 0.000
-4.131 0.000 10.367
Rb Gd Fe Te
2 2 2 6
direct
0.238 0.250 0.275
0.762 0.750 0.725
0.326 0.750 0.854
0.674 0.250 0.146
0.066 0.250 0.578
0.934 0.750 0.422
0.089 0.250 0.823
0.221 0.750 0.549
0.448 0.750 0.149
0.552 0.250 0.851
0.779 0.250 0.451
0.911 0.750 0.177
```

ΔE to the lowest computed polymorph = 0.01 eV/f.u.
SG = P2_1/m (11)

---

(2)
The following is a DFT calculation (PBE-GGA) of a geometry-optimized CsErW structure.

POSCAR file:
```
CsErW
1.0
0.000 3.551 3.551
3.551 0.000 3.551
3.551 3.551 0.000
Cs Er W
1 1 1
direct
0.000 0.000 0.000
0.750 0.750 0.750
0.250 0.250 0.250
```

ΔE to the lowest computed polymorph = 0.69 eV/f.u.
SG = F-43m (216)

---

(3)
The following is a DFT calculation (PBE-GGA) of a geometry-optimized ScFeCuGe structure.

POSCAR file:
```
ScFeCuGe
1.0
0.000 3.119 3.119
3.119 0.000 3.119
3.119 3.119 0.000
Sc Fe Cu Ge
1 1 1 1
direct
0.000 0.000 0.000
0.750 0.750 0.750
0.500 0.500 0.500
0.250 0.250 0.250
```

ΔE to the lowest computed polymorph = 0.68 eV/f.u.
SG = F-43m (216)

---

Which of these has the lowest ΔE to the lowest computed polymorph?
RbGdFeTe3

---

What is the ΔE to the lowest computed polymorph in the second record?
0.69 eV/f.u.

---

Look up the ΔE to the lowest computed polymorph of the first one.
0.01 eV/f.u.